Compound: SrLi2Au2
Source: Alexandria via LeMat-Bulk
Functional: GGA-PBEsol
Structure: relaxed

## Properties
As for the formation enthalpy at 0 K: -0.5381 eV per atom. The total energy is -16.3 eV/cell. Its symmetry is I4/mmm.

a b c (Å): 4.1360 4.1360 6.8891
angles (deg): 107.47 107.47 90.00
Sites, in units of the cell vectors:
Sr (0.0000, 0.0000, 0.0000)
Au (0.3884, 0.3884, 0.7768)
Au (0.6116, 0.6116, 0.2232)
Li (0.2500, 0.7500, 0.5000)
Li (0.7500, 0.2500, 0.5000)



Compound: LaFeAg2
Source: Alexandria via LeMat-Bulk
Functional: GGA-PBEsol
Structure: relaxed

## Properties
As for the formation enthalpy at 0 K: 0.2594 eV per atom. The total energy is -19.9 eV/cell. Its symmetry is P4/mmm.

a b c (Å): 3.9529 3.9529 4.7085
angles (deg): 90.00 90.00 90.00
Last column: magnetic moment on the atom in μB.
Sites, in units of the cell vectors:
Ag (0.0000, 0.5000, 0.0000)  -0.05
Ag (0.5000, 0.0000, 0.0000)  -0.05
Fe (0.5000, 0.5000, 0.5000)  1.15
La (0.0000, 0.0000, 0.5000)  -0.17



Compound: AlTcI2O
Source: Alexandria via LeMat-Bulk
Functional: GGA-PBEsol
Structure: relaxed

## Properties
For the uncorrected formation energy, the calculation gives -0.066 eV per atom. The total energy is -24.5 eV/cell. Its symmetry is P4/mmm.

a b c (Å): 3.4423 5.6086 5.6086
angles (deg): 90.00 90.00 90.00
Last column: magnetic moment on the atom in μB.
Sites, in units of the cell vectors:
I (0.0000, 0.0000, 0.5000)  0.08
I (0.0000, 0.5000, 0.0000)  0.08
Tc (0.5000, 0.5000, 0.5000)  3.44
O (0.5000, 0.0000, 0.0000)  0.01
Al (0.0000, 0.0000, 0.0000)  0.01